Density functional theory data (PBE with a Hubbard U) for an optimized crystal structure of CaCoSi2O7.

Unit cell a=5.261 b=7.943 c=7.972 alpha=89.47 beta=90.00 gamma=90.00
Element x y z (fractional)
O: 0.795 0.819 0.589
O: 0.801 0.590 0.822
O: 0.169 0.072 0.684
O: 0.165 0.317 0.918
O: 0.795 0.181 0.411
O: 0.219 0.000 0.000
O: 0.165 0.683 0.082
O: 0.757 0.099 0.900
O: 0.899 0.500 0.500
O: 0.238 0.676 0.689
O: 0.238 0.324 0.311
O: 0.169 0.928 0.316
O: 0.757 0.901 0.100
O: 0.801 0.410 0.178
Si: 0.945 0.358 0.358
Si: 0.065 0.131 0.866
Si: 0.945 0.642 0.642
Si: 0.065 0.869 0.134
Co: 0.983 0.000 0.500
Co: 0.993 0.500 0.000
Ca: 0.518 0.835 0.827
Ca: 0.518 0.165 0.173

- crystal system = monoclinic
- total energy (eV/atom) = -6.9496

Density functional theory data (PBE with a Hubbard U) for an optimized crystal structure of TiMnSb2O8.

Unit cell a=4.769 b=4.767 c=6.270 alpha=90.00 beta=90.00 gamma=87.70
Element x y z (fractional)
O: 0.199 0.800 0.772
O: 0.314 0.313 0.500
O: 0.695 0.696 0.000
O: 0.305 0.304 0.000
O: 0.686 0.687 0.500
O: 0.801 0.200 0.772
O: 0.199 0.800 0.228
O: 0.801 0.200 0.228
Ti: 0.000 0.000 0.000
Sb: 0.500 0.500 0.249
Sb: 0.500 0.500 0.751
Mn: 0.000 0.000 0.500

- crystal system = orthorhombic
- total energy (eV/atom) = -7.1384